Compound: KMnPt2
Source: Alexandria
Functional: PBE
Structure: optimized geometry

a b c (Å): 2.8770 4.3863 6.8585
angles (deg): 90.00 90.58 90.00
Atoms (fractional coordinates):
K (0.0000, 0.0000, 0.0000)
Mn (0.9876, 0.5000, 0.4000)
Pt (0.4901, 0.0000, 0.4654)
Pt (0.4942, 0.5000, 0.7152)

Summary:
V in Å³/atom: 21.64
Symmetry: Pm
E_form in eV per formula unit: 0.3